Computed, not measured: an optimized crystal structure of PmLuPuAl at the PBE-GGA level of DFT.

Lattice parameters (Å, degrees): 5.316 5.316 5.316 60.00 60.00 60.00
Last column: magnetic moment on the atom in μB.
Positions (direct):
Lu1 0.750 0.750 0.750  0.32
Pu1 0.000 0.000 0.000  5.49
Al1 0.250 0.250 0.250  -0.02
Pm1 0.500 0.500 0.500  0.12

Results
* space-group type: No. 216
* theoretical density: 9.2 g cm⁻³

Computed, not measured: an optimized crystal structure of PmLuScAl at the PBE-GGA level of DFT.

Lattice parameters (Å, degrees): 5.226 5.226 5.226 60.00 60.00 60.00
Positions (direct):
Lu1 0.250 0.250 0.250
Pm1 0.500 0.500 0.500
Al1 0.750 0.750 0.750
Sc1 0.000 0.000 0.000

Results
* space-group type: No. 216
* theoretical density: 6.4 g cm⁻³

Computed, not measured: an optimized crystal structure of PmLuAlSn at the PBE-GGA level of DFT.

Lattice parameters (Å, degrees): 5.252 5.252 5.252 60.00 60.00 60.00
Positions (direct):
Sn1 0.500 0.500 0.500
Al1 0.000 0.000 0.000
Lu1 0.250 0.250 0.250
Pm1 0.750 0.750 0.750

Results
* space-group type: No. 216
* theoretical density: 7.5 g cm⁻³

Computed, not measured: an optimized crystal structure of PmLuAlTc at the PBE-GGA level of DFT.

Lattice parameters (Å, degrees): 4.988 4.988 4.988 60.00 60.00 60.00
Positions (direct):
Tc1 0.750 0.750 0.750
Lu1 0.000 0.000 0.000
Al1 0.250 0.250 0.250
Pm1 0.500 0.500 0.500

Results
* space-group type: No. 216
* theoretical density: 8.4 g cm⁻³

Computed, not measured: an optimized crystal structure of PmLuAlTl at the PBE-GGA level of DFT.

Lattice parameters (Å, degrees): 5.264 5.264 5.264 60.00 60.00 60.00
Positions (direct):
Lu1 0.750 0.750 0.750
Al1 0.500 0.500 0.500
Tl1 0.000 0.000 0.000
Pm1 0.250 0.250 0.250

Results
* space-group type: No. 216
* theoretical density: 8.9 g cm⁻³

Computed, not measured: an optimized crystal structure of PmTmLuAl at the PBE-GGA level of DFT.

Lattice parameters (Å, degrees): 5.330 5.330 5.330 60.00 60.00 60.00
Positions (direct):
Lu1 0.750 0.750 0.750
Tm1 0.500 0.500 0.500
Al1 0.250 0.250 0.250
Pm1 0.000 0.000 0.000

Results
* space-group type: No. 216
* theoretical density: 8.0 g cm⁻³

Computed, not measured: an optimized crystal structure of PmYLuAl at the PBE-GGA level of DFT.

Lattice parameters (Å, degrees): 5.365 5.365 5.365 60.00 60.00 60.00
Positions (direct):
Pm1 0.500 0.500 0.500
Al1 0.750 0.750 0.750
Y1 0.000 0.000 0.000
Lu1 0.250 0.250 0.250

Results
* space-group type: No. 216
* theoretical density: 6.6 g cm⁻³

Computed, not measured: an optimized crystal structure of PmLuAlZn at the PBE-GGA level of DFT.

Lattice parameters (Å, degrees): 5.097 5.097 5.097 60.00 60.00 60.00
Positions (direct):
Al1 0.500 0.500 0.500
Lu1 0.250 0.250 0.250
Zn1 0.000 0.000 0.000
Pm1 0.750 0.750 0.750

Results
* space-group type: No. 216
* theoretical density: 7.3 g cm⁻³

Computed, not measured: an optimized crystal structure of PmLuZrAl at the PBE-GGA level of DFT.

Lattice parameters (Å, degrees): 5.178 5.178 5.178 60.00 60.00 60.00
Positions (direct):
Pm1 0.500 0.500 0.500
Lu1 0.250 0.250 0.250
Al1 0.750 0.750 0.750
Zr1 0.000 0.000 0.000

Results
* space-group type: No. 216
* theoretical density: 7.4 g cm⁻³

Computed, not measured: an optimized crystal structure of PrLu2Al at the PBE-GGA level of DFT.

Lattice parameters (Å, degrees): 3.421 3.421 11.553 81.49 81.49 60.00
Positions (direct):
Pr1 0.000 0.000 0.000
Lu1 0.101 0.101 0.698
Al1 0.500 0.500 0.500
Lu2 0.899 0.899 0.302

Results
* space-group type: No. 166
* theoretical density: 7.5 g cm⁻³
* energy above the lowest structure with this stoichiometry: 278 meV per atom

Computed, not measured: an optimized crystal structure of PrLu2Al at the PBE-GGA level of DFT.

Lattice parameters (Å, degrees): 3.505 3.505 8.942 90.00 90.00 90.00
Positions (direct):
Lu1 0.000 0.000 0.206
Al1 0.500 0.500 0.000
Pr1 0.500 0.500 0.500
Lu2 0.000 0.000 0.794

Results
* space-group type: No. 123
* theoretical density: 7.8 g cm⁻³
* energy above the lowest structure with this stoichiometry: 0 meV per atom

Computed, not measured: an optimized crystal structure of PrLu2Al at the PBE-GGA level of DFT.

Lattice parameters (Å, degrees): 4.762 4.768 4.768 90.00 90.00 90.00
Positions (direct):
Lu1 0.000 0.500 0.000
Al1 0.500 0.500 0.500
Lu2 0.000 0.000 0.500
Pr1 0.500 0.000 0.000

Results
* space-group type: No. 123
* theoretical density: 7.9 g cm⁻³
* energy above the lowest structure with this stoichiometry: 37 meV per atom

no.,ΔE_f (eV/atom)
1,0.018
2,-0.080
3,-0.411
4,-0.109
5,-0.312
6,-0.074
7,-0.085
8,-0.348
9,-0.027
10,0.078
11,-0.200
12,-0.163